Record 1
VASP calculation (GGA-PBEsol) on TlBrCl2 after structural relaxation.

crystal system	monoclinic
V	29.6	A^3/atom
distance to the lowest polymorph of the same formula	0.000	eV/atom
mass density	4.98	g cm⁻³

```
data_TlBrCl2
_symmetry_space_group_name_H-M 'C 1 2/m 1'
_symmetry_Int_Tables_number 12
_cell_length_a 9.219
_cell_length_b 4.862
_cell_length_c 5.318
_cell_angle_alpha 90.00
_cell_angle_beta 96.05
_cell_angle_gamma 90.00
loop_
_symmetry_equiv_pos_as_xyz
'x,y,z'
'-x,-y,-z'
'-x,y,-z'
'x,-y,z'
'x+1/2,y+1/2,z'
'-x+1/2,-y+1/2,-z'
'-x+1/2,y+1/2,-z'
'x+1/2,-y+1/2,z'
loop_
_atom_site_label
_atom_site_type_symbol
_atom_site_fract_x
_atom_site_fract_y
_atom_site_fract_z
Tl1 Tl 0.000 0.000 0.000
Br1 Br 0.000 0.500 0.500
Cl1 Cl 0.192 0.500 0.230
```

***

Record 2
VASP calculation (GGA-PBEsol) on Tl2BrCl after structural relaxation.

crystal system	orthorhombic
V	30.2	A^3/atom
distance to the lowest polymorph of the same formula	0.002	eV/atom
mass density	7.21	g cm⁻³

```
data_Tl2BrCl
_symmetry_space_group_name_H-M 'A m m 2'
_symmetry_Int_Tables_number 38
_cell_length_a 4.768
_cell_length_b 4.252
_cell_length_c 11.908
_cell_angle_alpha 90.00
_cell_angle_beta 90.00
_cell_angle_gamma 90.00
loop_
_symmetry_equiv_pos_as_xyz
'x,y,z'
'-x,-y,z'
'-x,y,z'
'x,-y,z'
'x,y+1/2,z+1/2'
'-x,-y+1/2,z+1/2'
'-x,y+1/2,z+1/2'
'x,-y+1/2,z+1/2'
loop_
_atom_site_label
_atom_site_type_symbol
_atom_site_fract_x
_atom_site_fract_y
_atom_site_fract_z
Tl1 Tl 0.000 0.000 0.000
Tl2 Tl 0.500 0.000 0.220
Br1 Br 0.500 0.000 0.478
Cl1 Cl 0.000 0.000 0.752
```

***

Record 3
VASP calculation (GGA-PBEsol) on Tl2BrCl after structural relaxation.

crystal system	tetragonal
V	33.1	A^3/atom
distance to the lowest polymorph of the same formula	0.007	eV/atom
mass density	6.57	g cm⁻³

```
data_Tl2BrCl
_symmetry_space_group_name_H-M 'P 4 m m'
_symmetry_Int_Tables_number 99
_cell_length_a 4.541
_cell_length_b 4.541
_cell_length_c 6.427
_cell_angle_alpha 90.00
_cell_angle_beta 90.00
_cell_angle_gamma 90.00
loop_
_symmetry_equiv_pos_as_xyz
'x,y,z'
'-y,x,z'
'-x,-y,z'
'y,-x,z'
'-x,y,z'
'y,x,z'
'x,-y,z'
'-y,-x,z'
loop_
_atom_site_label
_atom_site_type_symbol
_atom_site_fract_x
_atom_site_fract_y
_atom_site_fract_z
Tl1 Tl 0.000 0.000 0.000
Tl2 Tl 0.500 0.500 0.498
Br1 Br 0.000 0.000 0.500
Cl1 Cl 0.500 0.500 0.999
```

***

Record 4
VASP calculation (GGA-PBEsol) on TlBrCl2 after structural relaxation.

crystal system	trigonal
V	40.0	A^3/atom
distance to the lowest polymorph of the same formula	0.017	eV/atom
mass density	3.69	g cm⁻³

```
data_TlBrCl2
_symmetry_space_group_name_H-M 'R -3 m'
_symmetry_Int_Tables_number 166
_symmetry_space_group_name_Hall '-R 3 2"'
_cell_length_a 4.9910
_cell_length_b 4.9910
_cell_length_c 22.2484
_cell_angle_alpha 90.00
_cell_angle_beta 90.00
_cell_angle_gamma 120.00
loop_
_atom_site_label
_atom_site_type_symbol
_atom_site_fract_x
_atom_site_fract_y
_atom_site_fract_z
Tl1 Tl 0.0000 0.0000 0.0000
Br1 Br 0.0000 0.0000 0.5000
Cl1 Cl 0.0000 0.0000 0.3926
```

***

Record 5
VASP calculation (GGA-PBEsol) on Tl4BrCl3 after structural relaxation.

crystal system	orthorhombic
E	-3.18	eV/atom
V	27.2	A^3/atom
mass density	7.65	g cm⁻³

```
data_Tl4BrCl3
_symmetry_space_group_name_H-M 'P m m m'
_symmetry_Int_Tables_number 47
_cell_length_a 3.794
_cell_length_b 5.367
_cell_length_c 10.699
_cell_angle_alpha 90.00
_cell_angle_beta 90.00
_cell_angle_gamma 90.00
loop_
_symmetry_equiv_pos_as_xyz
'x,y,z'
'-x,-y,-z'
'-x,-y,z'
'x,y,-z'
'x,-y,-z'
'-x,y,z'
'-x,y,-z'
'x,-y,z'
loop_
_atom_site_label
_atom_site_type_symbol
_atom_site_fract_x
_atom_site_fract_y
_atom_site_fract_z
Tl1 Tl 0.000 0.000 0.000
Tl2 Tl 0.000 0.000 0.500
Tl3 Tl 0.000 0.500 0.243
Br1 Br 0.500 0.500 0.500
Cl1 Cl 0.500 0.000 0.247
Cl2 Cl 0.500 0.500 0.000
```

***

Record 6
VASP calculation (GGA-PBEsol) on Tl2BrCl after structural relaxation.

crystal system	cubic
V	28.0	A^3/atom
distance to the lowest polymorph of the same formula	0.006	eV/atom
mass density	7.76	g cm⁻³

```
data_Tl2BrCl
_symmetry_space_group_name_H-M 'F m -3 m'
_symmetry_Int_Tables_number 225
_symmetry_space_group_name_Hall '-F 4 2 3'
_cell_length_a 7.655
_cell_length_b 7.655
_cell_length_c 7.655
_cell_angle_alpha 90.00
_cell_angle_beta 90.00
_cell_angle_gamma 90.00
loop_
_atom_site_label
_atom_site_type_symbol
_atom_site_fract_x
_atom_site_fract_y
_atom_site_fract_z
Tl1 Tl 0.250 0.250 0.250
Br1 Br 0.000 0.000 0.000
Cl1 Cl 0.000 0.000 0.500
```

***

Record 7
VASP calculation (GGA-PBEsol) on Tl2BrCl after structural relaxation.

crystal system	tetragonal
V	45.2	A^3/atom
distance to the lowest polymorph of the same formula	0.108	eV/atom
mass density	4.82	g cm⁻³

```
data_Tl2BrCl
_symmetry_space_group_name_H-M 'I -4 2 d'
_symmetry_Int_Tables_number 122
_symmetry_space_group_name_Hall 'I -4 2bw'
_cell_length_a 7.179
_cell_length_b 7.179
_cell_length_c 14.021
_cell_angle_alpha 90.00
_cell_angle_beta 90.00
_cell_angle_gamma 90.00
loop_
_atom_site_label
_atom_site_type_symbol
_atom_site_fract_x
_atom_site_fract_y
_atom_site_fract_z
Tl1 Tl 0.235 0.250 0.125
Br1 Br 0.000 0.000 0.500
Cl1 Cl 0.000 0.000 0.000
```

***

Record 8
VASP calculation (GGA-PBEsol) on Tl2BrCl after structural relaxation.

crystal system	monoclinic
V	32.9	A^3/atom
distance to the lowest polymorph of the same formula	0.000	eV/atom
mass density	6.61	g cm⁻³

```
data_Tl2BrCl
_symmetry_space_group_name_H-M 'C 1 2/m 1'
_symmetry_Int_Tables_number 12
_cell_length_a 7.876
_cell_length_b 4.527
_cell_length_c 7.837
_cell_angle_alpha 90.00
_cell_angle_beta 109.40
_cell_angle_gamma 90.00
loop_
_symmetry_equiv_pos_as_xyz
'x,y,z'
'-x,-y,-z'
'-x,y,-z'
'x,-y,z'
'x+1/2,y+1/2,z'
'-x+1/2,-y+1/2,-z'
'-x+1/2,y+1/2,-z'
'x+1/2,-y+1/2,z'
loop_
_atom_site_label
_atom_site_type_symbol
_atom_site_fract_x
_atom_site_fract_y
_atom_site_fract_z
Tl1 Tl 0.246 0.000 0.238
Br1 Br 0.000 0.000 0.500
Cl1 Cl 0.000 0.500 0.000
```

***

Record 9
VASP calculation (GGA-PBEsol) on TlBrCl3 after structural relaxation.

crystal system	cubic
E	-2.25	eV/atom
V	27.9	A^3/atom
mass density	4.64	g cm⁻³

```
data_TlBrCl3
_symmetry_space_group_name_H-M 'P m -3 m'
_symmetry_Int_Tables_number 221
_symmetry_space_group_name_Hall '-P 4 2 3'
_cell_length_a 5.188
_cell_length_b 5.188
_cell_length_c 5.188
_cell_angle_alpha 90.00
_cell_angle_beta 90.00
_cell_angle_gamma 90.00
loop_
_atom_site_label
_atom_site_type_symbol
_atom_site_fract_x
_atom_site_fract_y
_atom_site_fract_z
Tl1 Tl 0.000 0.000 0.000
Br1 Br 0.500 0.500 0.500
Cl1 Cl 0.000 0.000 0.500
```

***

Record 10
VASP calculation (GGA-PBEsol) on YBr2Cl after structural relaxation.

crystal system	trigonal
V	29.4	A^3/atom
distance to the lowest polymorph of the same formula	0.227	eV/atom
mass density	4.01	g cm⁻³

```
data_YBr2Cl
_symmetry_space_group_name_H-M 'R 3 m'
_symmetry_Int_Tables_number 160
_symmetry_space_group_name_Hall 'R 3 -2"'
_cell_length_a 4.5147
_cell_length_b 4.5147
_cell_length_c 19.9811
_cell_angle_alpha 90.00
_cell_angle_beta 90.00
_cell_angle_gamma 120.00
loop_
_atom_site_label
_atom_site_type_symbol
_atom_site_fract_x
_atom_site_fract_y
_atom_site_fract_z
Y1 Y 0.0000 0.0000 0.0000
Br1 Br 0.0000 0.0000 0.2427
Br2 Br 0.0000 0.0000 0.4233
Cl1 Cl 0.0000 0.0000 0.6662
```

***

Record 11
VASP calculation (GGA-PBEsol) on YBr2Cl after structural relaxation.

crystal system	orthorhombic
V	35.9	A^3/atom
distance to the lowest polymorph of the same formula	0.016	eV/atom
mass density	3.29	g cm⁻³

```
data_YBr2Cl
_symmetry_space_group_name_H-M 'A m m 2'
_symmetry_Int_Tables_number 38
_cell_length_a 3.970
_cell_length_b 5.525
_cell_length_c 13.076
_cell_angle_alpha 90.00
_cell_angle_beta 90.00
_cell_angle_gamma 90.00
loop_
_symmetry_equiv_pos_as_xyz
'x,y,z'
'-x,-y,z'
'-x,y,z'
'x,-y,z'
'x,y+1/2,z+1/2'
'-x,-y+1/2,z+1/2'
'-x,y+1/2,z+1/2'
'x,-y+1/2,z+1/2'
loop_
_atom_site_label
_atom_site_type_symbol
_atom_site_fract_x
_atom_site_fract_y
_atom_site_fract_z
Y1 Y 0.000 0.000 0.000
Br1 Br 0.000 0.000 0.507
Br2 Br 0.500 0.000 0.851
Cl1 Cl 0.500 0.000 0.131
```

***

Record 12
VASP calculation (GGA-PBEsol) on YBr2Cl after structural relaxation.

crystal system	orthorhombic
V	36.7	A^3/atom
distance to the lowest polymorph of the same formula	0.000	eV/atom
mass density	3.22	g cm⁻³

```
data_YBr2Cl
_symmetry_space_group_name_H-M 'C m m m'
_symmetry_Int_Tables_number 65
_symmetry_space_group_name_Hall '-C 2 2'
_cell_length_a 5.222
_cell_length_b 13.936
_cell_length_c 4.033
_cell_angle_alpha 90.00
_cell_angle_beta 90.00
_cell_angle_gamma 90.00
loop_
_atom_site_label
_atom_site_type_symbol
_atom_site_fract_x
_atom_site_fract_y
_atom_site_fract_z
Y1 Y 0.000 0.000 0.000
Br1 Br 0.000 0.137 0.500
Cl1 Cl 0.000 0.500 0.000
```